Na3Pr2Hg4: optimized geometry, PBE.

Results
The electronic total energy is -1.925 eV/atom.

a b c (Å): 9.1576 5.2637 10.2416
angles (deg): 90.00 90.59 90.00
Closest atoms and distances in Å follow each position.
Space group C2/m (No. 12)
One atom of each set of equivalent atoms:
Na: 0.0000 0.0000 0.0000 [2 per cell]  8 Hg 3.23-3.45
Na: 0.1644 0.5000 0.5721 [4 per cell]  4 Hg 3.18-3.30, 3 Na 3.34-3.41
Pr: 0.1685 0.5000 0.2051 [4 per cell]  7 Hg 3.18-3.33
Hg: 0.0027 0.0000 0.3369 [4 per cell]  4 Na 3.18-3.45, 3 Pr 3.33, 1 Hg 3.34
Hg: 0.1654 0.5000 0.8943 [4 per cell]  4 Pr 3.18-3.21, 4 Na 3.23-3.30